No. 1
Rb2GdAgCl6: single point on PBEsol structure, SCAN.

The uncorrected formation energy is -2010 meV/atom. The symmetry is Fm-3m. As for the calculated volume: 29.3 Å³/atom. Its magnetic moment is 6.954 μB/cell.

Cell: 7.457 7.457 7.457 Å, 60.00 60.00 60.00°
Sites, in units of the cell vectors:
Rb1 0.250 0.250 0.250
Rb2 0.750 0.750 0.750
Gd1 0.000 0.000 0.000
Ag1 0.500 0.500 0.500
Cl1 0.249 0.249 0.751
Cl2 0.249 0.751 0.249
Cl3 0.249 0.751 0.751
Cl4 0.751 0.249 0.249
Cl5 0.751 0.249 0.751
Cl6 0.751 0.751 0.249

No. 2
Ag2GeHCl: single point on PBEsol structure, SCAN.

The final energy comes out at -1.3387 Ry per atom. The symmetry is P4/mmm. As for the calculated volume: 16.5 Å³/atom. Its magnetic moment is 0.100 μB/cell.

Cell: 5.283 5.283 2.952 Å, 90.00 90.00 90.00°
Sites, in units of the cell vectors:
Ag1 0.000 0.500 0.000
Ag2 0.500 0.000 0.000
Ge1 0.000 0.000 0.500
H1 0.500 0.500 0.500
Cl1 0.500 0.500 0.000

No. 3
AgGeP2Cl: single point on PBEsol structure, SCAN.

The uncorrected formation energy is 951 meV/atom. For the offset from the most stable computed form, the calculation gives 19.4 kJ per mole of atoms. The symmetry is P4/mmm. As for the calculated volume: 21.9 Å³/atom. Its magnetic moment is 1.099 μB/cell.

Cell: 4.719 4.719 4.921 Å, 90.00 90.00 90.00°
Sites, in units of the cell vectors:
Ag1 0.000 0.000 0.000
Ge1 0.500 0.500 0.500
P1 0.000 0.500 0.000
P2 0.500 0.000 0.000
Cl1 0.000 0.000 0.500

No. 4
AgGeP2Cl: single point on PBEsol structure, SCAN.

The uncorrected formation energy is 751 meV/atom. For the offset from the most stable computed form, the calculation gives 0.0 kJ per mole of atoms. The symmetry is P4/mmm. As for the calculated volume: 21.3 Å³/atom. Its magnetic moment is 1.194 μB/cell.

Cell: 4.689 4.689 4.844 Å, 90.00 90.00 90.00°
Sites, in units of the cell vectors:
Ag1 0.000 0.000 0.000
Ge1 0.500 0.500 0.500
P1 0.000 0.500 0.500
P2 0.500 0.000 0.500
Cl1 0.500 0.500 0.000

No. 5
Ag6GeS4Cl2: single point on PBEsol structure, SCAN.

The uncorrected formation energy is -328 meV/atom. The symmetry is Pnma. As for the calculated volume: 20.4 Å³/atom. Its magnetic moment is 0.000 μB/cell.

Cell: 6.074 7.547 23.165 Å, 90.00 90.00 90.00°
Sites, in units of the cell vectors:
Ag1 0.000 0.000 0.000
Ag2 0.000 0.500 0.000
Ag3 0.049 0.059 0.442
Ag4 0.049 0.441 0.442
Ag5 0.077 0.750 0.148
Ag6 0.140 0.038 0.275
Ag7 0.140 0.462 0.275
Ag8 0.360 0.538 0.775
Ag9 0.360 0.962 0.775
Ag10 0.423 0.250 0.648
Ag11 0.451 0.559 0.942
Ag12 0.451 0.941 0.942
Ag13 0.500 0.000 0.500
Ag14 0.500 0.500 0.500
Ag15 0.549 0.059 0.058
Ag16 0.549 0.441 0.058
Ag17 0.577 0.750 0.352
Ag18 0.640 0.038 0.225
Ag19 0.640 0.462 0.225
Ag20 0.860 0.538 0.725
Ag21 0.860 0.962 0.725
Ag22 0.923 0.250 0.852
Ag23 0.951 0.559 0.558
Ag24 0.951 0.941 0.558
Ge1 0.032 0.250 0.130
Ge2 0.468 0.750 0.630
Ge3 0.532 0.250 0.370
Ge4 0.968 0.750 0.870
S1 0.169 0.504 0.870
S2 0.169 0.996 0.870
S3 0.207 0.250 0.043
S4 0.227 0.750 0.702
S5 0.273 0.250 0.202
S6 0.293 0.750 0.543
S7 0.331 0.004 0.370
S8 0.331 0.496 0.370
S9 0.669 0.504 0.630
S10 0.669 0.996 0.630
S11 0.707 0.250 0.457
S12 0.727 0.750 0.798
S13 0.773 0.250 0.298
S14 0.793 0.750 0.957
S15 0.831 0.004 0.130
S16 0.831 0.496 0.130
Cl1 0.096 0.250 0.713
Cl2 0.166 0.250 0.549
Cl3 0.334 0.750 0.049
Cl4 0.404 0.750 0.213
Cl5 0.596 0.250 0.787
Cl6 0.666 0.250 0.951
Cl7 0.834 0.750 0.451
Cl8 0.904 0.750 0.287

No. 6
Ag2GeTeCl: single point on PBEsol structure, SCAN.

The uncorrected formation energy is 313 meV/atom. The symmetry is P4/mmm. As for the calculated volume: 25.3 Å³/atom. Its magnetic moment is 0.000 μB/cell.

Cell: 4.954 4.954 5.157 Å, 90.00 90.00 90.00°
Sites, in units of the cell vectors:
Ag1 0.000 0.500 0.000
Ag2 0.500 0.000 0.000
Ge1 0.000 0.000 0.000
Te1 0.000 0.000 0.500
Cl1 0.500 0.500 0.500

Please write out number 3 again, unchanged.
AgGeP2Cl: single point on PBEsol structure, SCAN.

The uncorrected formation energy is 951 meV/atom. For the offset from the most stable computed form, the calculation gives 19.4 kJ per mole of atoms. The symmetry is P4/mmm. As for the calculated volume: 21.9 Å³/atom. Its magnetic moment is 1.099 μB/cell.

Cell: 4.719 4.719 4.921 Å, 90.00 90.00 90.00°
Sites, in units of the cell vectors:
Ag1 0.000 0.000 0.000
Ge1 0.500 0.500 0.500
P1 0.000 0.500 0.000
P2 0.500 0.000 0.000
Cl1 0.000 0.000 0.500

Repeat the second record exactly.
Ag2GeHCl: single point on PBEsol structure, SCAN.

The final energy comes out at -1.3387 Ry per atom. The symmetry is P4/mmm. As for the calculated volume: 16.5 Å³/atom. Its magnetic moment is 0.100 μB/cell.

Cell: 5.283 5.283 2.952 Å, 90.00 90.00 90.00°
Sites, in units of the cell vectors:
Ag1 0.000 0.500 0.000
Ag2 0.500 0.000 0.000
Ge1 0.000 0.000 0.500
H1 0.500 0.500 0.500
Cl1 0.500 0.500 0.000